# SCAN KSr5, PBEsol geometry
# ΔE to the lowest computed polymorph: 0 meV/atom
# Crystal system: tetragonal
# DOS(E_F): 5.5 states/eV/cell
data_KSr5
_chemical_formula_sum 'K1 Sr5'
_cell_length_a 4.1843
_cell_length_b 4.1843
_cell_length_c 18.5787
_cell_angle_alpha 90.00
_cell_angle_beta 90.00
_cell_angle_gamma 90.00
_symmetry_space_group_name_H-M 'P 4/m m m'
_symmetry_Int_Tables_number 123
_symmetry_space_group_name_Hall '-P 4 2'
loop_
_atom_site_label
_atom_site_type_symbol
_atom_site_fract_x
_atom_site_fract_y
_atom_site_fract_z
_atom_site_occupancy
K1 K 0.0000 0.0000 0.0000 1
Sr1 Sr 0.0000 0.0000 0.3410 1
Sr2 Sr 0.5000 0.5000 0.1813 1
Sr3 Sr 0.5000 0.5000 0.5000 1


# SCAN KSr5, PBEsol geometry
# ΔE to the lowest computed polymorph: 17 meV/atom
# Crystal system: monoclinic
# DOS(E_F): 11.0 states/eV/cell
data_KSr5
_chemical_formula_sum 'K2 Sr10'
_cell_length_a 15.7468
_cell_length_b 4.2227
_cell_length_c 10.1611
_cell_angle_alpha 90.00
_cell_angle_beta 105.03
_cell_angle_gamma 90.00
_symmetry_space_group_name_H-M 'C 1 m 1'
_symmetry_Int_Tables_number 8
loop_
_symmetry_equiv_pos_as_xyz
'x,y,z'
'x,-y,z'
'x+1/2,y+1/2,z'
'x+1/2,-y+1/2,z'
loop_
_atom_site_label
_atom_site_type_symbol
_atom_site_fract_x
_atom_site_fract_y
_atom_site_fract_z
_atom_site_occupancy
K1 K 0.0000 0.0000 0.0000 1
Sr1 Sr 0.0570 0.0000 0.6098 1
Sr2 Sr 0.1690 0.5000 0.3368 1
Sr3 Sr 0.2249 0.5000 0.9446 1
Sr4 Sr 0.3304 0.0000 0.6604 1
Sr5 Sr 0.3888 0.0000 0.2850 1


# SCAN KSr2Ta, PBEsol geometry
# ΔE to the lowest computed polymorph: 12 meV/atom
# Crystal system: tetragonal
# DOS(E_F): 4.1 states/eV/cell
data_KSr2Ta
_chemical_formula_sum 'K1 Sr2 Ta1'
_cell_length_a 4.2490
_cell_length_b 4.2490
_cell_length_c 9.3407
_cell_angle_alpha 90.00
_cell_angle_beta 90.00
_cell_angle_gamma 90.00
_symmetry_space_group_name_H-M 'P 4 m m'
_symmetry_Int_Tables_number 99
loop_
_symmetry_equiv_pos_as_xyz
'x,y,z'
'-y,x,z'
'-x,-y,z'
'y,-x,z'
'-x,y,z'
'y,x,z'
'x,-y,z'
'-y,-x,z'
loop_
_atom_site_label
_atom_site_type_symbol
_atom_site_fract_x
_atom_site_fract_y
_atom_site_fract_z
_atom_site_occupancy
K1 K 0.0000 0.0000 0.0000 1
Sr1 Sr 0.0000 0.0000 0.6076 1
Sr2 Sr 0.5000 0.5000 0.3502 1
Ta1 Ta 0.5000 0.5000 0.7389 1


# SCAN KSr3Ta, PBEsol geometry
# Crystal system: cubic
# DOS(E_F): 5.6 states/eV/cell
# Total DFT energy (no corrections): -132.85 eV for the cell shown
data_KSr3Ta
_chemical_formula_sum 'K1 Sr3 Ta1'
_cell_length_a 5.8544
_cell_length_b 5.8544
_cell_length_c 5.8544
_cell_angle_alpha 90.00
_cell_angle_beta 90.00
_cell_angle_gamma 90.00
_symmetry_space_group_name_H-M 'P m -3 m'
_symmetry_Int_Tables_number 221
_symmetry_space_group_name_Hall '-P 4 2 3'
loop_
_atom_site_label
_atom_site_type_symbol
_atom_site_fract_x
_atom_site_fract_y
_atom_site_fract_z
_atom_site_occupancy
K1 K 0.0000 0.0000 0.0000 1
Sr1 Sr 0.0000 0.0000 0.5000 1
Ta1 Ta 0.5000 0.5000 0.5000 1


# SCAN KSrTa2, PBEsol geometry
# ΔE to the lowest computed polymorph: 0 meV/atom
# Crystal system: orthorhombic
# DOS(E_F): 8.3 states/eV/cell
data_KSrTa2
_chemical_formula_sum 'K2 Sr2 Ta4'
_cell_length_a 3.2327
_cell_length_b 6.2393
_cell_length_c 11.6109
_cell_angle_alpha 90.00
_cell_angle_beta 90.00
_cell_angle_gamma 90.00
_symmetry_space_group_name_H-M 'I m m 2'
_symmetry_Int_Tables_number 44
loop_
_symmetry_equiv_pos_as_xyz
'x,y,z'
'-x,-y,z'
'-x,y,z'
'x,-y,z'
'x+1/2,y+1/2,z+1/2'
'-x+1/2,-y+1/2,z+1/2'
'-x+1/2,y+1/2,z+1/2'
'x+1/2,-y+1/2,z+1/2'
loop_
_atom_site_label
_atom_site_type_symbol
_atom_site_fract_x
_atom_site_fract_y
_atom_site_fract_z
_atom_site_occupancy
K1 K 0.0000 0.0000 0.0000 1
Sr1 Sr 0.0000 0.5000 0.7932 1
Ta1 Ta 0.0000 0.0000 0.5643 1
Ta2 Ta 0.0000 0.5000 0.2297 1


# SCAN KSrTa2, PBEsol geometry
# ΔE to the lowest computed polymorph: 466 meV/atom
# Crystal system: tetragonal
# DOS(E_F): 2.7 states/eV/cell
data_KSrTa2
_chemical_formula_sum 'K1 Sr1 Ta2'
_cell_length_a 4.3285
_cell_length_b 4.3285
_cell_length_c 7.6154
_cell_angle_alpha 90.00
_cell_angle_beta 90.00
_cell_angle_gamma 90.00
_symmetry_space_group_name_H-M 'P 4/m m m'
_symmetry_Int_Tables_number 123
_symmetry_space_group_name_Hall '-P 4 2'
loop_
_atom_site_label
_atom_site_type_symbol
_atom_site_fract_x
_atom_site_fract_y
_atom_site_fract_z
_atom_site_occupancy
K1 K 0.0000 0.0000 0.0000 1
Sr1 Sr 0.0000 0.0000 0.5000 1
Ta1 Ta 0.5000 0.5000 0.3494 1